Computed, not measured: a geometry-optimized Li2AuCl structure at the PBE level of DFT.

abc: 3.4434 3.4434 6.6694
angles: 90.00 90.00 90.00
Closest atoms and distances in Å follow each position.
Element x y z (fractional)
Li  0.0000  0.0000  0.0000  4 Cl 2.49, 1 Au 2.75
Li  0.5000  0.5000  0.4330  1 Cl 2.39, 4 Au 2.64
Au  0.0000  0.0000  0.5876  5 Li 2.64-2.75
Cl  0.5000  0.5000  0.0754  5 Li 2.39-2.49

Results
energy relative to the elements, uncorrected	-0.99	eV/atom
V	19.8	Å³/atom
relative energy among the computed polymorphs	0.46	kcal/mol of atoms
total magnetic moment	0.00	μB/f.u.
theoretical density	5.17	g cm⁻³